VBi4 | PBE | relaxed

Geometry as POSCAR:
```
VBi4
1.0
5.3487 0.0000 0.0000
0.0000 5.3487 0.0000
0.0000 0.0000 5.3487
V Bi
1 4
Cartesian
0.0000 0.0000 0.0000
0.0000 0.0000 2.6744
0.0000 2.6744 0.0000
2.6744 0.0000 0.0000
2.6744 2.6744 2.6744
```

Raw total energy ... -4.540 eV per atom
Crystal system ... cubic
V ... 153 Å³ per cell
Energy of formation from the pure elements ... 0.388 eV per atom
M_tot ... 1.466 μB/f.u.
Symmetry ... No. 221

AgP2 | PBE | relaxed

Geometry as POSCAR:
```
AgP2
1.0
6.0898 0.0000 0.0000
0.0000 6.0898 0.0000
0.0000 0.0000 6.0898
Ag P
4 8
Cartesian
0.0000 0.0000 0.0000
0.0000 3.0449 3.0449
3.0449 0.0000 3.0449
3.0449 3.0449 0.0000
0.6077 3.6526 5.4821
0.6077 5.4821 2.4372
2.4372 0.6077 5.4821
2.4372 2.4372 2.4372
3.6526 3.6526 3.6526
3.6526 5.4821 0.6077
5.4821 0.6077 3.6526
5.4821 2.4372 0.6077
```

Raw total energy ... -4.276 eV per atom
Crystal system ... cubic
V ... 226 Å³ per cell
Energy of formation from the pure elements ... 0.281 eV per atom
M_tot ... 0.000 μB/f.u.
Symmetry ... No. 205
Energy above the most stable polymorph in this dataset ... 282 meV/atom

- The lowest M_tot belongs to which entry?
  AgP2

- raw total energy of number 1 (VBi4)?
  -4.540 eV per atom

- Among the records above, which one has the highest M_tot?
  VBi4